# 1
Entry from the Alexandria database: a relaxed Tm2CdFe crystal (PBE-GGA).

a = 3.476 Å, b = 3.476 Å, c = 10.136 Å
α = 80.13°, β = 80.13°, γ = 60.00°
Sites, in units of the cell vectors:
1 Tm 0.108 0.108 0.675
2 Tm 0.892 0.892 0.325
3 Fe 0.500 0.500 0.500
4 Cd 0.000 0.000 0.000

Summary:
Magnetization = 0.8 μB per formula unit
ΔE_f = 25 kJ/mol of atoms
Mass density = 8083 kg/m³
Space group = R-3m
Energy above the most stable polymorph in this dataset = 408 meV per atom
Energy = -17.29 eV for the cell shown

***

# 2
Entry from the Alexandria database: a relaxed Tm6CdFe2 crystal (PBE-GGA).

a = 8.266 Å, b = 8.266 Å, c = 8.266 Å
α = 106.86°, β = 109.82°, γ = 111.77°
Sites, in units of the cell vectors:
1 Tm 0.520 0.708 0.811
2 Tm 0.480 0.292 0.189
3 Tm 0.103 0.292 0.811
4 Tm 0.897 0.708 0.189
5 Tm 0.784 0.773 0.557
6 Tm 0.216 0.227 0.443
7 Tm 0.216 0.773 0.989
8 Tm 0.784 0.227 0.011
9 Tm 0.704 0.392 0.688
10 Tm 0.296 0.608 0.312
11 Tm 0.296 0.984 0.688
12 Tm 0.704 0.016 0.312
13 Cd 0.000 0.500 0.500
14 Cd 0.000 0.000 0.000
15 Fe 0.500 0.390 0.890
16 Fe 0.500 0.610 0.110
17 Fe 0.615 0.000 0.615
18 Fe 0.385 0.000 0.385

Summary:
Magnetization = 1.2 μB per formula unit
ΔE_f = -13 kJ/mol of atoms
Mass density = 9472 kg/m³
Space group = Immm
Energy = -91.68 eV for the cell shown

***

# 3
Entry from the Alexandria database: a relaxed UCdFe4 crystal (PBE-GGA).

a = 5.016 Å, b = 5.016 Å, c = 5.016 Å
α = 60.00°, β = 60.00°, γ = 60.00°
Sites, in units of the cell vectors:
1 U 0.250 0.250 0.250
2 Fe 0.625 0.625 0.126
3 Fe 0.625 0.126 0.625
4 Fe 0.625 0.625 0.625
5 Fe 0.126 0.625 0.625
6 Cd 0.000 0.000 0.000

Summary:
Magnetization = 5.7 μB per formula unit
ΔE_f = 12 kJ/mol of atoms
Mass density = 10676 kg/m³
Space group = F-43m
Energy = -45.34 eV for the cell shown

***

# 4
Entry from the Alexandria database: a relaxed VCd3Fe crystal (PBE-GGA).

a = 4.921 Å, b = 4.921 Å, c = 4.921 Å
α = 90.00°, β = 90.00°, γ = 90.00°
Sites, in units of the cell vectors:
1 Cd 0.000 0.500 0.000
2 Cd 0.000 0.000 0.500
3 Cd 0.500 0.000 0.000
4 Fe 0.000 0.000 0.000
5 V 0.500 0.500 0.500

Summary:
Magnetization = 5.6 μB per formula unit
ΔE_f = 94 kJ/mol of atoms
Mass density = 6188 kg/m³
Space group = Pm-3m
Energy above the most stable polymorph in this dataset = 0 meV per atom
Energy = -15.48 eV for the cell shown